(1)
{"formula": "Li3Cu3P2O8", "functional": "PBE-GGA", "state": "optimized geometry", "lattice": [[5.1270, 0.0000, 0.0000], [0.0000, 6.2874, 0.0000], [-0.0422, 0.0000, 5.3693]], "species": ["Li", "Li", "Li", "Cu", "Cu", "Cu", "P", "P", "O", "O", "O", "O", "O", "O", "O", "O"], "fractional_positions": [[0.0000, 0.0000, 0.0000], [0.9818, 0.2521, 0.5161], [0.9818, 0.7479, 0.5161], [0.4822, 0.5000, 0.6149], [0.5176, 0.2890, 0.2081], [0.5176, 0.7110, 0.2081], [0.0007, 0.5000, 0.0054], [0.4908, 0.0000, 0.6871], [0.3048, 0.5000, 0.9887], [0.3679, 0.1967, 0.5478], [0.3679, 0.8033, 0.5478], [0.3975, 0.0000, 0.9603], [0.7928, 0.0000, 0.6659], [0.8932, 0.5000, 0.7339], [0.9151, 0.2942, 0.1481], [0.9151, 0.7058, 0.1481]], "e_form_raw_ev_per_atom": -1.73, "spacegroup": "No. 6"}

(2)
{"formula": "Li2Cu3P4O14", "functional": "PBE-GGA", "state": "optimized geometry", "lattice": [[5.4872, 0.0000, 0.0000], [-2.1595, 5.8849, 0.0000], [-0.4781, -1.4352, 16.5153]], "species": ["Li", "Li", "Li", "Li", "Cu", "Cu", "Cu", "Cu", "Cu", "Cu", "P", "P", "P", "P", "P", "P", "P", "P", "O", "O", "O", "O", "O", "O", "O", "O", "O", "O", "O", "O", "O", "O", "O", "O", "O", "O", "O", "O", "O", "O", "O", "O", "O", "O", "O", "O"], "fractional_positions": [[0.0634, 0.2984, 0.4863], [0.3805, 0.7412, 0.6104], [0.6195, 0.2588, 0.3896], [0.9366, 0.7016, 0.5137], [0.0564, 0.1358, 0.6632], [0.2237, 0.7805, 0.9083], [0.4130, 0.4547, 0.1631], [0.5870, 0.5453, 0.8369], [0.7763, 0.2195, 0.0917], [0.9436, 0.8642, 0.3368], [0.0653, 0.4014, 0.3100], [0.1389, 0.2702, 0.9520], [0.2914, 0.9099, 0.1762], [0.4359, 0.7526, 0.4228], [0.5641, 0.2474, 0.5772], [0.7086, 0.0901, 0.8238], [0.8611, 0.7298, 0.0480], [0.9347, 0.5986, 0.6900], [0.0322, 0.8107, 0.6402], [0.0754, 0.9073, 0.2310], [0.0934, 0.3523, 0.2206], [0.1074, 0.3391, 0.0409], [0.1206, 0.4688, 0.6698], [0.1547, 0.8203, 0.0866], [0.2673, 0.0932, 0.9414], [0.2683, 0.1942, 0.5633], [0.2781, 0.6438, 0.4939], [0.2922, 0.4866, 0.9088], [0.3553, 0.5448, 0.3494], [0.3688, 0.9509, 0.3939], [0.4555, 0.7672, 0.1966], [0.4809, 0.1583, 0.1659], [0.5191, 0.8417, 0.8341], [0.5445, 0.2328, 0.8034], [0.6312, 0.0491, 0.6061], [0.6447, 0.4552, 0.6506], [0.7078, 0.5134, 0.0912], [0.7219, 0.3562, 0.5061], [0.7317, 0.8058, 0.4367], [0.7327, 0.9068, 0.0586], [0.8453, 0.1797, 0.9134], [0.8794, 0.5312, 0.3302], [0.8926, 0.6609, 0.9591], [0.9066, 0.6477, 0.7794], [0.9246, 0.0927, 0.7690], [0.9678, 0.1893, 0.3598]], "dos_at_fermi_per_ev_fu": 1.155, "e_form_raw_ev_per_atom": -1.78, "spacegroup": "No. 2"}

(3)
{"formula": "Li2CuP4O12", "functional": "PBE-GGA", "state": "optimized geometry", "lattice": [[5.3167, 0.0000, 0.0000], [-1.8862, 6.7586, 0.0000], [-0.5777, -2.5348, 6.6968]], "species": ["Li", "Li", "Cu", "P", "P", "P", "P", "O", "O", "O", "O", "O", "O", "O", "O", "O", "O", "O", "O"], "fractional_positions": [[0.1490, 0.2219, 0.0681], [0.8510, 0.7781, 0.9319], [0.5000, 0.5000, 0.5000], [0.1845, 0.7145, 0.2908], [0.3660, 0.9233, 0.7265], [0.6340, 0.0767, 0.2735], [0.8155, 0.2855, 0.7092], [0.0595, 0.3134, 0.8423], [0.1826, 0.8656, 0.5135], [0.1963, 0.9375, 0.8820], [0.2365, 0.5149, 0.3051], [0.4494, 0.8403, 0.2327], [0.4637, 0.2240, 0.2992], [0.5363, 0.7760, 0.7008], [0.5506, 0.1597, 0.7673], [0.7635, 0.4851, 0.6949], [0.8037, 0.0625, 0.1180], [0.8174, 0.1344, 0.4865], [0.9405, 0.6866, 0.1577]], "e_form_raw_ev_per_atom": -2.04, "spacegroup": "No. 2"}

(4)
{"formula": "Li5CuP2O8", "functional": "PBE-GGA", "state": "optimized geometry", "lattice": [[6.1776, 0.0000, 0.0000], [0.0000, 5.0648, 0.0000], [-0.1119, 0.0000, 10.7696]], "species": ["Li", "Li", "Li", "Li", "Li", "Li", "Li", "Li", "Li", "Li", "Cu", "Cu", "P", "P", "P", "P", "O", "O", "O", "O", "O", "O", "O", "O", "O", "O", "O", "O", "O", "O", "O", "O"], "fractional_positions": [[0.0000, 0.0443, 0.0000], [0.0000, 0.9557, 0.5000], [0.2473, 0.0454, 0.7624], [0.2473, 0.9546, 0.2624], [0.4995, 0.4471, 0.8508], [0.4995, 0.5529, 0.3508], [0.7464, 0.4423, 0.0899], [0.7464, 0.5577, 0.5899], [0.7509, 0.0506, 0.7614], [0.7509, 0.9494, 0.2614], [0.2580, 0.4519, 0.1005], [0.2580, 0.5481, 0.6005], [0.5038, 0.0570, 0.5123], [0.5038, 0.9430, 0.0123], [0.9924, 0.4483, 0.3375], [0.9924, 0.5517, 0.8375], [0.2030, 0.4423, 0.7758], [0.2030, 0.5577, 0.2758], [0.2944, 0.0303, 0.0825], [0.2944, 0.9697, 0.5825], [0.5017, 0.0514, 0.8774], [0.5017, 0.9486, 0.3774], [0.5098, 0.3655, 0.5076], [0.5098, 0.6345, 0.0076], [0.7071, 0.0441, 0.0846], [0.7071, 0.9559, 0.5846], [0.7898, 0.4519, 0.7642], [0.7898, 0.5481, 0.2642], [0.9861, 0.4427, 0.9722], [0.9861, 0.5573, 0.4722], [0.9982, 0.1405, 0.3372], [0.9982, 0.8595, 0.8372]], "dos_at_fermi_per_ev_fu": 0.000, "e_form_raw_ev_per_atom": -2.17, "spacegroup": "No. 7"}

(5)
{"formula": "Li9Cu3P8O29", "functional": "PBE-GGA", "state": "optimized geometry", "lattice": [[9.8146, 0.0000, 0.0000], [-4.9073, 8.4997, 0.0000], [0.0000, 0.0000, 13.7477]], "species": ["Li", "Li", "Li", "Li", "Li", "Li", "Li", "Li", "Li", "Li", "Li", "Li", "Li", "Li", "Li", "Li", "Li", "Li", "Cu", "Cu", "Cu", "Cu", "Cu", "Cu", "P", "P", "P", "P", "P", "P", "P", "P", "P", "P", "P", "P", "P", "P", "P", "P", "O", "O", "O", "O", "O", "O", "O", "O", "O", "O", "O", "O", "O", "O", "O", "O", "O", "O", "O", "O", "O", "O", "O", "O", "O", "O", "O", "O", "O", "O", "O", "O", "O", "O", "O", "O", "O", "O", "O", "O", "O", "O", "O", "O", "O", "O", "O", "O", "O", "O", "O", "O", "O", "O", "O", "O", "O", "O"], "fractional_positions": [[0.0000, 0.0000, 0.0000], [0.0000, 0.0000, 0.5000], [0.0986, 0.3324, 0.0636], [0.0986, 0.7662, 0.5636], [0.2338, 0.3324, 0.5636], [0.2338, 0.9014, 0.0636], [0.3324, 0.0986, 0.4364], [0.3324, 0.2338, 0.9364], [0.3333, 0.6667, 0.3747], [0.3333, 0.6667, 0.8747], [0.6667, 0.3333, 0.1253], [0.6667, 0.3333, 0.6253], [0.6676, 0.7662, 0.0636], [0.6676, 0.9014, 0.5636], [0.7662, 0.0986, 0.9364], [0.7662, 0.6676, 0.4364], [0.9014, 0.2338, 0.4364], [0.9014, 0.6676, 0.9364], [0.0000, 0.4348, 0.2500], [0.0000, 0.5652, 0.7500], [0.4348, 0.0000, 0.2500], [0.4348, 0.4348, 0.7500], [0.5652, 0.0000, 0.7500], [0.5652, 0.5652, 0.2500], [0.0919, 0.3197, 0.8432], [0.0919, 0.7723, 0.3432], [0.2277, 0.3197, 0.3432], [0.2277, 0.9081, 0.8432], [0.3197, 0.0919, 0.6568], [0.3197, 0.2277, 0.1568], [0.3333, 0.6667, 0.1225], [0.3333, 0.6667, 0.6225], [0.6667, 0.3333, 0.3775], [0.6667, 0.3333, 0.8775], [0.6803, 0.7723, 0.8432], [0.6803, 0.9081, 0.3432], [0.7723, 0.0919, 0.1568], [0.7723, 0.6803, 0.6568], [0.9081, 0.2277, 0.6568], [0.9081, 0.6803, 0.1568], [0.0000, 0.2152, 0.7500], [0.0000, 0.7848, 0.2500], [0.0006, 0.2272, 0.9329], [0.0006, 0.7734, 0.4329], [0.0769, 0.3306, 0.3443], [0.0769, 0.7463, 0.8443], [0.1123, 0.4849, 0.8329], [0.1123, 0.6275, 0.3329], [0.1912, 0.5090, 0.1585], [0.1912, 0.6821, 0.6585], [0.2152, 0.0000, 0.7500], [0.2152, 0.2152, 0.2500], [0.2272, 0.0006, 0.5671], [0.2272, 0.2266, 0.0671], [0.2266, 0.2272, 0.4329], [0.2266, 0.9994, 0.9329], [0.2537, 0.3306, 0.8443], [0.2537, 0.9231, 0.3443], [0.3179, 0.5090, 0.6585], [0.3179, 0.8088, 0.1585], [0.3306, 0.0769, 0.1557], [0.3306, 0.2537, 0.6557], [0.3333, 0.6667, 0.0115], [0.3333, 0.6667, 0.5115], [0.3725, 0.4849, 0.3329], [0.3725, 0.8877, 0.8329], [0.4849, 0.1123, 0.6671], [0.4849, 0.3725, 0.1671], [0.4910, 0.6821, 0.1585], [0.4910, 0.8088, 0.6585], [0.5090, 0.1912, 0.3415], [0.5090, 0.3179, 0.8415], [0.5151, 0.6275, 0.8329], [0.5151, 0.8877, 0.3329], [0.6275, 0.1123, 0.1671], [0.6275, 0.5151, 0.6671], [0.6667, 0.3333, 0.4885], [0.6667, 0.3333, 0.9885], [0.6694, 0.7463, 0.3443], [0.6694, 0.9231, 0.8443], [0.6821, 0.1912, 0.8415], [0.6821, 0.4910, 0.3415], [0.7463, 0.0769, 0.6557], [0.7463, 0.6694, 0.1557], [0.7734, 0.0006, 0.0671], [0.7734, 0.7728, 0.5671], [0.7728, 0.7734, 0.9329], [0.7728, 0.9994, 0.4329], [0.7848, 0.0000, 0.2500], [0.7848, 0.7848, 0.7500], [0.8088, 0.3179, 0.3415], [0.8088, 0.4910, 0.8415], [0.8877, 0.3725, 0.6671], [0.8877, 0.5151, 0.1671], [0.9231, 0.2537, 0.1557], [0.9231, 0.6694, 0.6557], [0.9994, 0.2266, 0.5671], [0.9994, 0.7728, 0.0671]], "e_form_raw_ev_per_atom": -1.99, "spacegroup": "No. 165"}

(6)
{"formula": "Li3Cu3P2O8", "functional": "PBE-GGA", "state": "optimized geometry", "lattice": [[5.1970, 0.0000, 0.0000], [-0.0418, 5.4837, 0.0000], [-0.0319, -0.1822, 6.2069]], "species": ["Li", "Li", "Li", "Cu", "Cu", "Cu", "P", "P", "O", "O", "O", "O", "O", "O", "O", "O"], "fractional_positions": [[0.0000, 0.0000, 0.0000], [0.0064, 0.5321, 0.2391], [0.4996, 0.3621, 0.4735], [0.4435, 0.9402, 0.7253], [0.5373, 0.3455, 0.9426], [0.9258, 0.0176, 0.5597], [0.0112, 0.4922, 0.7396], [0.5047, 0.8434, 0.2314], [0.3085, 0.4895, 0.7233], [0.3875, 0.9722, 0.0309], [0.3962, 0.5794, 0.2403], [0.4075, 0.0055, 0.4262], [0.8032, 0.8450, 0.2290], [0.8937, 0.3730, 0.5261], [0.9160, 0.7588, 0.7616], [0.9257, 0.3561, 0.9478]], "e_form_raw_ev_per_atom": -1.73, "spacegroup": "No. 1"}